# Hf2ZrAs | the Open Quantum Materials Database | PBE-GGA | relaxed
data_Hf2ZrAs
_cell_length_a 6.8478
_cell_length_b 6.8478
_cell_length_c 6.8478
_cell_angle_alpha 90.00
_cell_angle_beta 90.00
_cell_angle_gamma 90.00
_space_group_name_H-M_alt 'F -4 3 m'
_space_group_IT_number 216
_space_group_name_Hall 'F -4 2 3'
loop_
_atom_site_label
_atom_site_fract_x
_atom_site_fract_y
_atom_site_fract_z
Hf1 0.0000 0.0000 0.0000
Hf2 0.2500 0.2500 0.2500
Zr1 0.2500 0.2500 0.7500
As1 0.0000 0.0000 0.5000
# Calculated total energy (eV/atom): -8.300
# Size of the total moment (μB/atom): 0.018

# Rb2PdI3Br | the Open Quantum Materials Database | PBE-GGA | relaxed
data_Rb2PdI3Br
_cell_length_a 4.8639
_cell_length_b 11.2818
_cell_length_c 11.6330
_cell_angle_alpha 90.00
_cell_angle_beta 90.00
_cell_angle_gamma 90.00
_space_group_name_H-M_alt 'A m m 2'
_space_group_IT_number 38
loop_
_space_group_symop_operation_xyz
'x,y,z'
'-x,-y,z'
'-x,y,z'
'x,-y,z'
'x,y+1/2,z+1/2'
'-x,-y+1/2,z+1/2'
'-x,y+1/2,z+1/2'
'x,-y+1/2,z+1/2'
loop_
_atom_site_label
_atom_site_fract_x
_atom_site_fract_y
_atom_site_fract_z
Rb1 0.0000 0.2387 0.0000
Pd1 0.5000 0.0000 0.2485
I1 0.5000 0.0000 0.4752
I2 0.5000 0.2346 0.2491
Br1 0.5000 0.0000 0.0314
# Calculated total energy (eV/atom): -2.932

# PdWAu | the Open Quantum Materials Database | PBE-GGA | relaxed
data_PdWAu
_cell_length_a 6.0727
_cell_length_b 6.0727
_cell_length_c 6.0727
_cell_angle_alpha 90.00
_cell_angle_beta 90.00
_cell_angle_gamma 90.00
_space_group_name_H-M_alt 'F -4 3 m'
_space_group_IT_number 216
_space_group_name_Hall 'F -4 2 3'
loop_
_atom_site_label
_atom_site_fract_x
_atom_site_fract_y
_atom_site_fract_z
Pd1 0.0000 0.0000 0.0000
W1 0.2500 0.2500 0.2500
Au1 0.2500 0.2500 0.7500
# Energy above the most stable polymorph in this dataset (meV per atom): 0
# Formation enthalpy at 0 K (meV per atom): 738
# Size of the total moment (μB/atom): 0.002

# Lu2Ga8Ni | the Open Quantum Materials Database | PBE-GGA | relaxed
data_Lu2Ga8Ni
_cell_length_a 4.2188
_cell_length_b 4.2188
_cell_length_c 10.9236
_cell_angle_alpha 90.00
_cell_angle_beta 90.00
_cell_angle_gamma 90.00
_space_group_name_H-M_alt 'P 4/m m m'
_space_group_IT_number 123
_space_group_name_Hall '-P 4 2'
loop_
_atom_site_label
_atom_site_fract_x
_atom_site_fract_y
_atom_site_fract_z
Lu1 0.0000 0.0000 0.1923
Ga1 0.0000 0.5000 0.0000
Ga2 0.0000 0.5000 0.3793
Ga3 0.5000 0.5000 0.1962
Ni1 0.0000 0.0000 0.5000
# Calculated total energy (eV/atom): -3.992
# Size of the total moment (μB/atom): 0.000

# TeIrNO | the Open Quantum Materials Database | PBE-GGA | relaxed
data_TeIrNO
_cell_length_a 6.5096
_cell_length_b 7.1156
_cell_length_c 5.7478
_cell_angle_alpha 90.00
_cell_angle_beta 90.00
_cell_angle_gamma 90.00
_space_group_name_H-M_alt 'P c a 21'
_space_group_IT_number 29
loop_
_space_group_symop_operation_xyz
'x,y,z'
'-x,-y,z+1/2'
'-x+1/2,y,z+1/2'
'x+1/2,-y,z'
loop_
_atom_site_label
_atom_site_fract_x
_atom_site_fract_y
_atom_site_fract_z
Te1 0.2207 0.1618 0.0000
Ir1 0.1087 0.5152 0.0156
N1 0.1353 0.5833 0.6817
O1 0.0126 0.7983 0.0764
# Energy above the most stable polymorph in this dataset (meV per atom): 0
# Size of the total moment (μB/atom): 0.000

# Dy3Sc3Sb2Os | the Open Quantum Materials Database | PBE-GGA | relaxed
data_Dy3Sc3Sb2Os
_cell_length_a 8.0197
_cell_length_b 8.0197
_cell_length_c 4.0201
_cell_angle_alpha 90.00
_cell_angle_beta 90.00
_cell_angle_gamma 120.00
_space_group_name_H-M_alt 'P -6 2 m'
_space_group_IT_number 189
_space_group_name_Hall 'P -6 -2'
loop_
_atom_site_label
_atom_site_fract_x
_atom_site_fract_y
_atom_site_fract_z
Dy1 0.0000 0.7551 0.0000
Sc1 0.0000 0.3920 0.5000
Sb1 0.3333 0.6667 0.0000
Os1 0.0000 0.0000 0.5000
# Energy above the most stable polymorph in this dataset (meV per atom): 189
# Size of the total moment (μB/atom): 0.034

# Te6AuI2 | the Open Quantum Materials Database | PBE-GGA | relaxed
data_Te6AuI2
_cell_length_a 4.9068
_cell_length_b 8.7147
_cell_length_c 8.8171
_cell_angle_alpha 62.40
_cell_angle_beta 88.69
_cell_angle_gamma 88.61
_space_group_name_H-M_alt 'P -1'
_space_group_IT_number 2
loop_
_space_group_symop_operation_xyz
'x,y,z'
'-x,-y,-z'
loop_
_atom_site_label
_atom_site_fract_x
_atom_site_fract_y
_atom_site_fract_z
Te1 0.1211 0.0155 0.2796
Te2 0.1501 0.7086 0.9798
Te3 0.1756 0.2324 0.7735
Au1 0.0000 0.5000 0.5000
I1 0.4832 0.3341 0.3087
# Calculated total energy (eV/atom): -2.801

# LuAlNiPt | the Open Quantum Materials Database | PBE-GGA | relaxed
data_LuAlNiPt
_cell_length_a 6.4372
_cell_length_b 6.4372
_cell_length_c 6.4372
_cell_angle_alpha 90.00
_cell_angle_beta 90.00
_cell_angle_gamma 90.00
_space_group_name_H-M_alt 'F -4 3 m'
_space_group_IT_number 216
_space_group_name_Hall 'F -4 2 3'
loop_
_atom_site_label
_atom_site_fract_x
_atom_site_fract_y
_atom_site_fract_z
Lu1 0.0000 0.0000 0.0000
Al1 0.2500 0.2500 0.2500
Ni1 0.0000 0.0000 0.5000
Pt1 0.2500 0.2500 0.7500
# Energy above the most stable polymorph in this dataset (meV per atom): 371
# Size of the total moment (μB/atom): 0.001

# CuRe3Sn5 | the Open Quantum Materials Database | PBE-GGA | relaxed
data_CuRe3Sn5
_cell_length_a 5.3855
_cell_length_b 5.3855
_cell_length_c 8.1818
_cell_angle_alpha 90.00
_cell_angle_beta 90.00
_cell_angle_gamma 120.00
_space_group_name_H-M_alt 'P 6/m m m'
_space_group_IT_number 191
_space_group_name_Hall '-P 6 2'
loop_
_atom_site_label
_atom_site_fract_x
_atom_site_fract_y
_atom_site_fract_z
Cu1 0.0000 0.0000 0.0000
Re1 0.0000 0.5000 0.5000
Sn1 0.0000 0.0000 0.5000
Sn2 0.3333 0.6667 0.1956
# Calculated total energy (eV/atom): -6.329
# Size of the total moment (μB/atom): 0.000

# CuTcPtPb | the Open Quantum Materials Database | PBE-GGA | relaxed
data_CuTcPtPb
_cell_length_a 6.4631
_cell_length_b 6.4631
_cell_length_c 6.4631
_cell_angle_alpha 90.00
_cell_angle_beta 90.00
_cell_angle_gamma 90.00
_space_group_name_H-M_alt 'F -4 3 m'
_space_group_IT_number 216
_space_group_name_Hall 'F -4 2 3'
loop_
_atom_site_label
_atom_site_fract_x
_atom_site_fract_y
_atom_site_fract_z
Cu1 0.0000 0.0000 0.0000
Tc1 0.0000 0.0000 0.5000
Pt1 0.2500 0.2500 0.2500
Pb1 0.2500 0.2500 0.7500
# Energy above the most stable polymorph in this dataset (meV per atom): 0
# Size of the total moment (μB/atom): 0.285

# YTlFeOs | the Open Quantum Materials Database | PBE-GGA | relaxed
data_YTlFeOs
_cell_length_a 6.6753
_cell_length_b 6.6753
_cell_length_c 6.6753
_cell_angle_alpha 90.00
_cell_angle_beta 90.00
_cell_angle_gamma 90.00
_space_group_name_H-M_alt 'F -4 3 m'
_space_group_IT_number 216
_space_group_name_Hall 'F -4 2 3'
loop_
_atom_site_label
_atom_site_fract_x
_atom_site_fract_y
_atom_site_fract_z
Y1 0.0000 0.0000 0.0000
Tl1 0.2500 0.2500 0.2500
Fe1 0.0000 0.0000 0.5000
Os1 0.2500 0.2500 0.7500
# Energy above the most stable polymorph in this dataset (meV per atom): 13
# Size of the total moment (μB/atom): 0.978

# ScInAu2 | the Open Quantum Materials Database | PBE-GGA | relaxed
data_ScInAu2
_cell_length_a 4.7647
_cell_length_b 4.7647
_cell_length_c 8.4178
_cell_angle_alpha 90.00
_cell_angle_beta 90.00
_cell_angle_gamma 120.00
_space_group_name_H-M_alt 'P 63/m m c'
_space_group_IT_number 194
_space_group_name_Hall '-P 6c 2c'
loop_
_atom_site_label
_atom_site_fract_x
_atom_site_fract_y
_atom_site_fract_z
Sc1 0.0000 0.0000 0.0000
In1 0.3333 0.6667 0.2500
Au1 0.3333 0.6667 0.5882
# Calculated total energy (eV/atom): -4.373
# Size of the total moment (μB/atom): 0.004

# NiPd2Pt | the Open Quantum Materials Database | PBE-GGA | relaxed
data_NiPd2Pt
_cell_length_a 6.1557
_cell_length_b 6.1557
_cell_length_c 6.1557
_cell_angle_alpha 90.00
_cell_angle_beta 90.00
_cell_angle_gamma 90.00
_space_group_name_H-M_alt 'F -4 3 m'
_space_group_IT_number 216
_space_group_name_Hall 'F -4 2 3'
loop_
_atom_site_label
_atom_site_fract_x
_atom_site_fract_y
_atom_site_fract_z
Ni1 0.0000 0.0000 0.0000
Pd1 0.0000 0.0000 0.5000
Pd2 0.2500 0.2500 0.2500
Pt1 0.2500 0.2500 0.7500
# Formation enthalpy at 0 K (meV per atom): 72
# Size of the total moment (μB/atom): 0.209

# HfCoIrPb | the Open Quantum Materials Database | PBE-GGA | relaxed
data_HfCoIrPb
_cell_length_a 6.5156
_cell_length_b 6.5156
_cell_length_c 6.5156
_cell_angle_alpha 90.00
_cell_angle_beta 90.00
_cell_angle_gamma 90.00
_space_group_name_H-M_alt 'F -4 3 m'
_space_group_IT_number 216
_space_group_name_Hall 'F -4 2 3'
loop_
_atom_site_label
_atom_site_fract_x
_atom_site_fract_y
_atom_site_fract_z
Hf1 0.0000 0.0000 0.0000
Co1 0.2500 0.2500 0.7500
Ir1 0.2500 0.2500 0.2500
Pb1 0.0000 0.0000 0.5000
# Energy above the most stable polymorph in this dataset (meV per atom): 0
# Size of the total moment (μB/atom): 0.478

# RbLaNiS3 | the Open Quantum Materials Database | PBE-GGA | relaxed
data_RbLaNiS3
_cell_length_a 4.1349
_cell_length_b 14.3312
_cell_length_c 11.1309
_cell_angle_alpha 90.00
_cell_angle_beta 90.00
_cell_angle_gamma 90.00
_space_group_name_H-M_alt 'C m c m'
_space_group_IT_number 63
_space_group_name_Hall '-C 2c 2'
loop_
_atom_site_label
_atom_site_fract_x
_atom_site_fract_y
_atom_site_fract_z
Rb1 0.0000 0.2423 0.2500
La1 0.0000 0.5000 0.0000
Ni1 0.0000 0.0318 0.7500
S1 0.0000 0.1211 0.5828
S2 0.0000 0.4513 0.7500
# Calculated total energy (eV/atom): -5.255
# Size of the total moment (μB/atom): 0.333

# Gd2DyZn3CdIn2 | the Open Quantum Materials Database | PBE-GGA | relaxed
data_Gd2DyZn3CdIn2
_cell_length_a 4.5877
_cell_length_b 12.4512
_cell_length_c 7.2272
_cell_angle_alpha 90.00
_cell_angle_beta 90.00
_cell_angle_gamma 90.00
_space_group_name_H-M_alt 'A m m 2'
_space_group_IT_number 38
loop_
_space_group_symop_operation_xyz
'x,y,z'
'-x,-y,z'
'-x,y,z'
'x,-y,z'
'x,y+1/2,z+1/2'
'-x,-y+1/2,z+1/2'
'-x,y+1/2,z+1/2'
'x,-y+1/2,z+1/2'
loop_
_atom_site_label
_atom_site_fract_x
_atom_site_fract_y
_atom_site_fract_z
Gd1 0.0000 0.2136 0.0000
Dy1 0.0000 0.0000 0.3578
Zn1 0.5000 0.0000 0.0188
Zn2 0.5000 0.1170 0.6684
Cd1 0.0000 0.0000 0.7827
In1 0.5000 0.1659 0.2861
# Calculated total energy (eV/atom): -3.047
# Size of the total moment (μB/atom): 0.000

# RbZrAuSe3 | the Open Quantum Materials Database | PBE-GGA | relaxed
data_RbZrAuSe3
_cell_length_a 10.7575
_cell_length_b 3.9719
_cell_length_c 15.3067
_cell_angle_alpha 90.00
_cell_angle_beta 90.00
_cell_angle_gamma 90.00
_space_group_name_H-M_alt 'P n m a'
_space_group_IT_number 62
loop_
_space_group_symop_operation_xyz
'x,y,z'
'-x,-y,-z'
'-x+1/2,-y,z+1/2'
'x+1/2,y,-z+1/2'
'x+1/2,-y+1/2,-z+1/2'
'-x+1/2,y+1/2,z+1/2'
'-x,y+1/2,-z'
'x,-y+1/2,z'
loop_
_atom_site_label
_atom_site_fract_x
_atom_site_fract_y
_atom_site_fract_z
Rb1 0.2386 0.2500 0.0014
Zr1 0.0374 0.7500 0.7523
Au1 0.2484 0.2500 0.6997
Se1 0.0323 0.7500 0.1320
Se2 0.0365 0.2500 0.6269
Se3 0.2404 0.2500 0.3183
# Calculated total energy (eV/atom): -4.893
# Size of the total moment (μB/atom): 0.000

# LuSnIr | the Open Quantum Materials Database | PBE-GGA | relaxed
data_LuSnIr
_cell_length_a 7.0579
_cell_length_b 7.0579
_cell_length_c 4.2707
_cell_angle_alpha 90.00
_cell_angle_beta 90.00
_cell_angle_gamma 120.00
_space_group_name_H-M_alt 'P -6 2 m'
_space_group_IT_number 189
_space_group_name_Hall 'P -6 -2'
loop_
_atom_site_label
_atom_site_fract_x
_atom_site_fract_y
_atom_site_fract_z
Lu1 0.0000 0.5673 0.0000
Sn1 0.0000 0.0000 0.0000
Sn2 0.3333 0.6667 0.5000
Ir1 0.0000 0.2407 0.5000
# Calculated total energy (eV/atom): -6.473
# Size of the total moment (μB/atom): 0.000

# CsZnIn | the Open Quantum Materials Database | PBE-GGA | relaxed
data_CsZnIn
_cell_length_a 8.1211
_cell_length_b 8.1211
_cell_length_c 8.1211
_cell_angle_alpha 90.00
_cell_angle_beta 90.00
_cell_angle_gamma 90.00
_space_group_name_H-M_alt 'F -4 3 m'
_space_group_IT_number 216
_space_group_name_Hall 'F -4 2 3'
loop_
_atom_site_label
_atom_site_fract_x
_atom_site_fract_y
_atom_site_fract_z
Cs1 0.0000 0.0000 0.0000
Zn1 0.0000 0.0000 0.5000
In1 0.2500 0.2500 0.2500
# Calculated total energy (eV/atom): -1.198

# KRb3Cd2Sn2 | the Open Quantum Materials Database | PBE-GGA | relaxed
data_KRb3Cd2Sn2
_cell_length_a 7.0606
_cell_length_b 6.7284
_cell_length_c 7.1283
_cell_angle_alpha 90.00
_cell_angle_beta 106.19
_cell_angle_gamma 90.00
_space_group_name_H-M_alt 'P 1 m 1'
_space_group_IT_number 6
loop_
_space_group_symop_operation_xyz
'x,y,z'
'x,-y,z'
loop_
_atom_site_label
_atom_site_fract_x
_atom_site_fract_y
_atom_site_fract_z
K1 0.0000 0.0000 0.0000
Rb1 0.3511 0.5000 0.0305
Rb2 0.6572 0.0000 0.3391
Rb3 0.6969 0.5000 0.6930
Cd1 0.1772 0.2498 0.5118
Sn1 0.4340 0.0000 0.7837
Sn2 0.9122 0.5000 0.2482
# Calculated total energy (eV/atom): -1.936